An optimized crystal structure of Na5B7C3, computed with GGA-PBE.

Output
total magnetization = 0.002 μB/f.u.
DFT total energy = -5.28 eV per atom
ΔE_f = 121.2 meV/atom
energy above the lowest structure with this stoichiometry = 8 meV/atom
space group = Cmcm, No. 63
V = 312 Å³/cell

a = 12.9715 Å, b = 12.9715 Å, c = 8.5914 Å
α = 90.00°, β = 90.00°, γ = 167.55°
With the nearest neighbours (Å) after each atom.
Sites, in units of the cell vectors:
1 Na 0.2011 0.7989 0.9989  6 B 2.63-2.71, 6 C 2.66-2.74, 6 Na 2.81-2.92
2 Na 0.2011 0.7989 0.5011  6 B 2.63-2.71, 6 C 2.66-2.74, 6 Na 2.81-2.92
3 Na 0.3980 0.6020 0.0035  9 B 2.64-2.81, 3 C 2.76-2.80, 4 Na 2.81-2.92
4 Na 0.3980 0.6020 0.4965  9 B 2.64-2.81, 3 C 2.76-2.80, 4 Na 2.81-2.92
5 Na 0.0000 0.0000 0.0000  12 B 2.69-2.94, 6 Na 2.81-2.98
6 Na 0.0000 0.0000 0.5000  12 B 2.69-2.94, 6 Na 2.81-2.98
7 Na 0.6020 0.3980 0.9965  9 B 2.64-2.81, 3 C 2.76-2.80, 4 Na 2.81-2.92
8 Na 0.6020 0.3980 0.5035  9 B 2.64-2.81, 3 C 2.76-2.80, 4 Na 2.81-2.92
9 Na 0.7989 0.2011 0.0011  6 B 2.63-2.71, 6 C 2.66-2.74, 6 Na 2.81-2.92
10 Na 0.7989 0.2011 0.4989  6 B 2.63-2.71, 6 C 2.66-2.74, 6 Na 2.81-2.92
11 B 0.7361 0.2639 0.7500  3 C 1.62
12 B 0.2639 0.7361 0.2500  3 C 1.62
13 B 0.9263 0.0737 0.2500  3 B 1.75-1.79
14 B 0.4653 0.5347 0.7500  3 B 1.68-1.80
15 B 0.9221 0.0779 0.7500  1 C 1.56
16 B 0.4695 0.5305 0.2500  3 B 1.68-1.79
17 B 0.5347 0.4653 0.2500  3 B 1.68-1.80
18 B 0.0737 0.9263 0.7500  3 B 1.75-1.79
19 B 0.5305 0.4695 0.7500  3 B 1.68-1.79
20 B 0.0779 0.9221 0.2500  1 C 1.56
21 B 0.1417 0.8583 0.7500  2 C 1.62, 1 B 1.75
22 B 0.6702 0.3298 0.2500  3 C 1.61-1.63
23 B 0.3298 0.6702 0.7500  3 C 1.61-1.63
24 B 0.8583 0.1417 0.2500  2 C 1.62, 1 B 1.75
25 C 0.7325 0.2675 0.2500  3 B 1.61-1.62
26 C 0.2675 0.7325 0.7500  3 B 1.61-1.62
27 C 0.1382 0.8618 0.2500  3 B 1.56-1.63
28 C 0.6731 0.3269 0.7500  3 B 1.62
29 C 0.3269 0.6731 0.2500  3 B 1.62
30 C 0.8618 0.1382 0.7500  3 B 1.56-1.63

An optimized crystal structure of Be2Nb2Rh3, computed with GGA-PBE.

Output
total magnetization = 0.000 μB/f.u.
DFT total energy = -7.53 eV per atom
ΔE_f = -434.4 meV/atom
space group = Cmmm, No. 65
V = 95 Å³/cell

a = 3.3767 Å, b = 2.8061 Å, c = 10.1425 Å
α = 90.00°, β = 80.42°, γ = 90.00°
With the nearest neighbours (Å) after each atom.
Sites, in units of the cell vectors:
1 Be 0.7189 0.5000 0.5623  2 Be 2.10, 4 Rh 2.32
2 Be 0.2811 0.5000 0.4377  2 Be 2.10, 4 Rh 2.32
3 Nb 0.5857 0.5000 0.8285  1 Be 2.66, 8 Rh 2.79-2.91, 2 Nb 2.81
4 Nb 0.4143 0.5000 0.1715  1 Be 2.66, 8 Rh 2.79-2.91, 2 Nb 2.81
5 Rh 0.8191 0.0000 0.3619  6 Be 2.32-2.45
6 Rh 0.0000 0.0000 0.0000  8 Nb 2.79, 2 Rh 2.81
7 Rh 0.1809 0.0000 0.6381  6 Be 2.32-2.45

An optimized crystal structure of NaSbAu2O6, computed with GGA-PBE.

Output
uncorrected formation energy = -489 meV per atom
total magnetization = 0.000 μB/f.u.
DFT total energy = -4.66 eV per atom
space group = C2/c, No. 15
V = 325 Å³/cell

a = 7.1212 Å, b = 7.1917 Å, c = 7.1917 Å
α = 86.32°, β = 70.18°, γ = 70.18°
With the nearest neighbours (Å) after each atom.
Sites, in units of the cell vectors:
1 Na 0.2500 0.8003 0.1997  6 O 2.31-2.46
2 Na 0.7500 0.1997 0.8003  6 O 2.31-2.46
3 Sb 0.2500 0.1419 0.8581  4 O 1.90-1.94
4 Sb 0.7500 0.8581 0.1419  4 O 1.90-1.94
5 Au 0.4051 0.6507 0.6327  3 O 1.97-2.13
6 Au 0.0949 0.3673 0.3493  3 O 1.97-2.13
7 Au 0.5949 0.3493 0.3673  3 O 1.97-2.13
8 Au 0.9051 0.6327 0.6507  3 O 1.97-2.13
9 O 0.2368 0.8764 0.8650  1 Sb 1.94, 1 Au 2.13
10 O 0.2632 0.1350 0.1236  1 Sb 1.94, 1 Au 2.13
11 O 0.7632 0.1236 0.1350  1 Sb 1.94, 1 Au 2.13
12 O 0.7368 0.8650 0.8764  1 Sb 1.94, 1 Au 2.13
13 O 0.5049 0.8157 0.3237  1 Sb 1.90
14 O 0.9951 0.6763 0.1843  1 Sb 1.90
15 O 0.4951 0.1843 0.6763  1 Sb 1.90
16 O 0.0049 0.3237 0.8157  1 Sb 1.90
17 O 0.1497 0.7270 0.5521  2 Au 1.97-1.99
18 O 0.3503 0.4479 0.2730  2 Au 1.97-1.99
19 O 0.8503 0.2730 0.4479  2 Au 1.97-1.99
20 O 0.6497 0.5521 0.7270  2 Au 1.97-1.99